# 1
Material: K2RhPb
Method: DFT, PBE-GGA
State: optimized geometry

Summary:
- total DFT energy (no corrections) (eV/cell) = -11.6
- formation enthalpy at 0 K (eV per atom) = 0.409
- total magnetic moment (μB/cell) = 0.000
- theoretical density (Mg/m³) = 5.750
- space-group type = C2/m, No. 12

Lattice parameters (Å, degrees): 6.237 6.237 3.535 90.07 90.07 125.35
Sites, in units of the cell vectors:
K 0.500 0.500 0.000
K 0.000 0.000 0.000
Pb 0.500 0.000 0.500
Rh 0.000 0.500 0.500

=====

# 2
Material: Cs2CrRe
Method: DFT, PBE-GGA
State: optimized geometry

Summary:
- total DFT energy (no corrections) (eV/cell) = -11.5
- formation enthalpy at 0 K (eV per atom) = 3.071
- total magnetic moment (μB/cell) = 0.008
- theoretical density (Mg/m³) = 8.333
- space-group type = Fm-3m, No. 225

Lattice parameters (Å, degrees): 5.218 5.218 5.218 60.00 60.00 60.00
Sites, in units of the cell vectors:
Re 0.500 0.500 0.500
Cs 0.250 0.250 0.250
Cs 0.750 0.750 0.750
Cr 0.000 0.000 0.000

=====

# 3
Material: GaNi2Sb2
Method: DFT, PBE-GGA
State: optimized geometry

Summary:
- offset from the most stable computed form (meV/atom) = 19
- total DFT energy (no corrections) (eV/cell) = -22.7
- total magnetic moment (μB/cell) = 0.000
- theoretical density (Mg/m³) = 6.964
- space-group type = I4/mmm, No. 139

Lattice parameters (Å, degrees): 4.222 4.222 6.489 71.02 71.02 90.00
Sites, in units of the cell vectors:
Ni 0.750 0.250 0.500
Ni 0.250 0.750 0.500
Ga 0.000 0.000 0.000
Sb 0.632 0.632 0.736
Sb 0.368 0.368 0.264

=====

# 4
Material: CaSmAg2
Method: DFT, PBE-GGA
State: optimized geometry

Summary:
- total DFT energy (no corrections) (eV/cell) = -13.6
- formation enthalpy at 0 K (eV per atom) = -0.306
- total magnetic moment (μB/cell) = 0.000
- theoretical density (Mg/m³) = 6.685
- space-group type = Fm-3m, No. 225

Lattice parameters (Å, degrees): 5.225 5.225 5.225 60.00 60.00 60.00
Sites, in units of the cell vectors:
Ag 0.000 0.000 0.000
Ag 0.500 0.500 0.500
Sm 0.750 0.750 0.750
Ca 0.250 0.250 0.250

=====

# 5
Material: NdDy2Co2
Method: DFT, PBE-GGA
State: optimized geometry

Summary:
- offset from the most stable computed form (meV/atom) = 77
- total DFT energy (no corrections) (eV/cell) = -28.4
- formation enthalpy at 0 K (eV per atom) = -0.045
- total magnetic moment (μB/cell) = 0.000
- theoretical density (Mg/m³) = 8.399
- space-group type = C2/m, No. 12

Lattice parameters (Å, degrees): 3.766 5.539 6.040 103.45 108.16 90.00
Sites, in units of the cell vectors:
Dy 0.350 0.417 0.701
Dy 0.650 0.583 0.299
Co 0.721 0.105 0.442
Co 0.279 0.895 0.558
Nd 0.000 0.000 0.000

=====

# 6
Material: TlTcPb2Cl
Method: DFT, PBE-GGA
State: optimized geometry

Summary:
- total DFT energy (no corrections) (eV/cell) = -20.7
- total magnetic moment (μB/cell) = 1.097
- theoretical density (Mg/m³) = 8.698
- space-group type = P4/mmm, No. 123

Lattice parameters (Å, degrees): 5.468 4.804 5.468 90.00 90.00 90.00
Each line ends with the local moment (μB).
Sites, in units of the cell vectors:
Pb 0.500 0.000 0.000  -0.05
Pb 0.000 0.000 0.500  -0.03
Tc 0.000 0.000 0.000  1.05
Tl 0.500 0.500 0.500  0.01
Cl 0.000 0.500 0.000  0.07

=====

# 7
Material: Ca2La3N4
Method: DFT, PBE-GGA
State: optimized geometry

Summary:
- total DFT energy (no corrections) (eV/cell) = -62.1
- total magnetic moment (μB/cell) = 0.831
- theoretical density (Mg/m³) = 5.097
- space-group type = C2/m, No. 12

Lattice parameters (Å, degrees): 3.727 6.512 8.082 76.81 76.67 73.37
Sites, in units of the cell vectors:
N 0.206 0.888 0.700
N 0.390 0.305 0.914
N 0.610 0.695 0.086
N 0.794 0.112 0.300
La 0.199 0.403 0.198
La 0.801 0.597 0.802
La 0.000 0.000 0.000
Ca 0.379 0.854 0.387
Ca 0.621 0.146 0.613

=====

# 8
Material: AlTeRh2Br
Method: DFT, PBE-GGA
State: optimized geometry

Summary:
- total DFT energy (no corrections) (eV/cell) = -20.3
- total magnetic moment (μB/cell) = 0.000
- theoretical density (Mg/m³) = 6.853
- space-group type = P4/mmm, No. 123

Lattice parameters (Å, degrees): 4.724 4.781 4.724 90.00 90.00 90.00
Sites, in units of the cell vectors:
Br 0.000 0.500 0.000
Te 0.500 0.500 0.500
Rh 0.500 0.000 0.000
Rh 0.000 0.000 0.500
Al 0.000 0.000 0.000